## Sr2In3Au6 (PBE-GGA)

Data for a geometry-optimized Sr2In3Au6 structure.

Cell: 11.6307 11.8126 4.1048 Å, 90.00 90.00 90.00°
Space group Cmmm (No. 65)
One atom of each set of equivalent atoms:
Sr  0.0000  0.1972  0.0000 (multiplicity 4)
In  0.0000  0.5000  0.5000 (multiplicity 2)
In  0.2164  0.5000  0.0000 (multiplicity 4)
Au  0.1162  0.0000  0.5000 (multiplicity 4)
Au  0.1732  0.3335  0.5000 (multiplicity 8)

Summary:
crystal system	orthorhombic
E_tot	-3.25	eV/atom

## TbPr3 (PBE-GGA)

Data for a geometry-optimized TbPr3 structure.

Cell: 8.2630 8.2630 8.2630 Å, 90.00 90.00 90.00°
Space group Fm-3m (No. 225)
One atom of each set of equivalent atoms:
Tb  0.0000  0.0000  0.0000 (multiplicity 4)
Pr  0.0000  0.0000  0.5000 (multiplicity 4)
Pr  0.2500  0.2500  0.2500 (multiplicity 8)

Summary:
distance to the lowest polymorph of the same formula	116	meV per atom
crystal system	cubic

## TeBrF (PBE-GGA)

Data for a geometry-optimized TeBrF structure.

Cell: 4.4594 5.8631 7.1240 Å, 65.81 87.31 89.98°
Space group P-1 (No. 2)
One atom of each set of equivalent atoms:
Te  0.0125  0.1105  0.2792 (multiplicity 2)
Br  0.0050  0.6335  0.2332 (multiplicity 2)
F  0.4751  0.8907  0.7188 (multiplicity 2)

Summary:
formation energy (no corrections)	-824	meV per atom
distance to the lowest polymorph of the same formula	121	meV per atom
crystal system	triclinic

## Y2TlIr (PBE-GGA)

Data for a geometry-optimized Y2TlIr structure.

Cell: 3.5084 3.5084 8.1753 Å, 90.00 90.00 90.00°
Space group P4mm (No. 99)
One atom of each set of equivalent atoms:
Y  0.0000  0.0000  0.0000 (multiplicity 1)
Y  0.5000  0.5000  0.3611 (multiplicity 1)
Tl  0.5000  0.5000  0.7485 (multiplicity 1)
Ir  0.0000  0.0000  0.5457 (multiplicity 1)

Summary:
distance to the lowest polymorph of the same formula	419	meV per atom
crystal system	tetragonal

## CuHgP2O (PBE-GGA)

Data for a geometry-optimized CuHgP2O structure.

Cell: 5.0793 5.0793 3.9937 Å, 90.00 90.00 90.00°
Space group P4/mmm (No. 123)
One atom of each set of equivalent atoms:
Cu  0.0000  0.0000  0.0000 (multiplicity 1)
Hg  0.5000  0.5000  0.5000 (multiplicity 1)
P  0.0000  0.5000  0.5000 (multiplicity 2)
O  0.5000  0.5000  0.0000 (multiplicity 1)

Summary:
formation energy (no corrections)	1308	meV per atom
distance to the lowest polymorph of the same formula	835	meV per atom
crystal system	tetragonal

## Al8Fe2Cu (PBE-GGA)

Data for a geometry-optimized Al8Fe2Cu structure.

Cell: 4.6376 5.1055 7.2406 Å, 69.56 88.98 89.84°
Space group P1 (No. 1)
One atom of each set of equivalent atoms:
Al  0.0000  0.0000  0.0000 (multiplicity 1)
Al  0.0189  0.5004  0.9817 (multiplicity 1)
Al  0.2529  0.2402  0.6119 (multiplicity 1)
Al  0.4844  0.8712  0.2435 (multiplicity 1)
Al  0.5032  0.3890  0.2244 (multiplicity 1)
Al  0.5432  0.8200  0.8603 (multiplicity 1)
Al  0.7512  0.5223  0.6121 (multiplicity 1)
Al  0.9592  0.0686  0.3652 (multiplicity 1)
Fe  0.0121  0.5815  0.3181 (multiplicity 1)
Fe  0.4924  0.2860  0.9062 (multiplicity 1)
Cu  0.2498  0.7322  0.6134 (multiplicity 1)

Summary:
crystal system	triclinic
E_tot	-4.83	eV/atom

## TbAg6F12 (PBE-GGA)

Data for a geometry-optimized TbAg6F12 structure.

Cell: 10.6762 10.6762 9.4794 Å, 90.00 90.00 120.00°
Space group R-3 (No. 148, hexagonal axes)
One atom of each set of equivalent atoms:
Tb  0.0000  0.0000  0.0000 (multiplicity 3)
Ag  0.0418  0.7897  0.6465 (multiplicity 18)
F  0.0078  0.7758  0.4051 (multiplicity 18)
F  0.0349  0.8482  0.8726 (multiplicity 18)

Summary:
formation energy (no corrections)	-1714	meV per atom
crystal system	trigonal

## CaY2SiN (PBE-GGA)

Data for a geometry-optimized CaY2SiN structure.

Cell: 4.7264 4.7264 4.7177 Å, 90.00 90.00 90.00°
Space group P4/mmm (No. 123)
One atom of each set of equivalent atoms:
Ca  0.0000  0.0000  0.0000 (multiplicity 1)
Y  0.0000  0.5000  0.5000 (multiplicity 2)
Si  0.5000  0.5000  0.0000 (multiplicity 1)
N  0.0000  0.0000  0.5000 (multiplicity 1)

Summary:
formation energy (no corrections)	-893	meV per atom
crystal system	tetragonal

## BaReSb2 (PBE-GGA)

Data for a geometry-optimized BaReSb2 structure.

Cell: 4.9032 4.4181 12.8837 Å, 90.00 90.00 90.00°
Space group Amm2 (No. 38)
One atom of each set of equivalent atoms:
Ba  0.0000  0.0000  0.0000 (multiplicity 2)
Re  0.5000  0.0000  0.7740 (multiplicity 2)
Sb  0.0000  0.0000  0.7158 (multiplicity 2)
Sb  0.5000  0.0000  0.3821 (multiplicity 2)

Summary:
formation energy (no corrections)	133	meV per atom
distance to the lowest polymorph of the same formula	194	meV per atom
crystal system	orthorhombic

## Ce4P2SeCl (PBE-GGA)

Data for a geometry-optimized Ce4P2SeCl structure.

Cell: 7.1037 4.1085 7.1822 Å, 90.00 109.32 90.00°
Space group P2/m (No. 10)
One atom of each set of equivalent atoms:
Ce  0.2430  0.0000  0.2318 (multiplicity 2)
Ce  0.2546  0.5000  0.7668 (multiplicity 2)
P  0.0000  0.5000  0.0000 (multiplicity 1)
P  0.5000  0.0000  0.0000 (multiplicity 1)
Se  0.0000  0.0000  0.5000 (multiplicity 1)
Cl  0.5000  0.5000  0.5000 (multiplicity 1)

Summary:
formation energy (no corrections)	-1628	meV per atom
crystal system	monoclinic

## In2SnHg3Pb3 (PBE-GGA)

Data for a geometry-optimized In2SnHg3Pb3 structure.

Cell: 9.1342 9.1342 3.5468 Å, 90.00 90.00 120.00°
Space group P-62m (No. 189)
One atom of each set of equivalent atoms:
In  0.3333  0.6667  0.0000 (multiplicity 2)
Sn  0.0000  0.0000  0.5000 (multiplicity 1)
Hg  0.0000  0.3685  0.5000 (multiplicity 3)
Pb  0.0000  0.6960  0.0000 (multiplicity 3)

Summary:
crystal system	hexagonal
E_tot	-2.34	eV/atom

## Ca3AgPt (PBE-GGA)

Data for a geometry-optimized Ca3AgPt structure.

Cell: 10.1735 14.5927 4.0767 Å, 90.00 90.00 90.00°
Space group Cmmm (No. 65)
One atom of each set of equivalent atoms:
Ca  0.0000  0.1646  0.0000 (multiplicity 4)
Ca  0.1873  0.3766  0.5000 (multiplicity 8)
Ag  0.0000  0.0000  0.5000 (multiplicity 2)
Ag  0.0000  0.5000  0.0000 (multiplicity 2)
Pt  0.2500  0.2500  0.0000 (multiplicity 4)

Summary:
distance to the lowest polymorph of the same formula	87	meV per atom
crystal system	orthorhombic

## CuIr2W (PBE-GGA)

Data for a geometry-optimized CuIr2W structure.

Cell: 2.7836 2.7836 26.1168 Å, 90.00 90.00 120.00°
Space group R-3m (No. 166, hexagonal axes)
One atom of each set of equivalent atoms:
Cu  0.0000  0.0000  0.0000 (multiplicity 3)
Ir  0.0000  0.0000  0.2501 (multiplicity 6)
W  0.0000  0.0000  0.5000 (multiplicity 3)

Summary:
distance to the lowest polymorph of the same formula	129	meV per atom
crystal system	trigonal

## NaSnI2 (PBE-GGA)

Data for a geometry-optimized NaSnI2 structure.

Cell: 6.3781 6.3815 9.0609 Å, 109.83 109.61 92.33°
Space group P1 (No. 1)
One atom of each set of equivalent atoms:
Na  0.0000  0.0000  0.0000 (multiplicity 1)
Na  0.1639  0.4325  0.5946 (multiplicity 1)
Sn  0.4641  0.5972  0.0601 (multiplicity 1)
Sn  0.4932  0.9174  0.4084 (multiplicity 1)
I  0.4323  0.9151  0.8678 (multiplicity 1)
I  0.4510  0.3758  0.3537 (multiplicity 1)
I  0.9540  0.4355  0.8688 (multiplicity 1)
I  0.9799  0.9071  0.3519 (multiplicity 1)

Summary:
formation energy (no corrections)	-652	meV per atom
distance to the lowest polymorph of the same formula	43	meV per atom
crystal system	triclinic

## TbPm2HoBi5 (PBE-GGA)

Data for a geometry-optimized TbPm2HoBi5 structure.

Cell: 5.4473 5.4473 11.8887 Å, 90.00 90.00 90.00°
Space group P4/mmm (No. 123)
One atom of each set of equivalent atoms:
Tb  0.0000  0.0000  0.0000 (multiplicity 1)
Pm  0.5000  0.5000  0.2255 (multiplicity 2)
Ho  0.0000  0.0000  0.5000 (multiplicity 1)
Bi  0.0000  0.0000  0.2549 (multiplicity 2)
Bi  0.0000  0.5000  0.0000 (multiplicity 2)
Bi  0.5000  0.5000  0.5000 (multiplicity 1)

Summary:
crystal system	tetragonal
E_tot	-4.31	eV/atom

## AcLa2PmNd (PBE-GGA)

Data for a geometry-optimized AcLa2PmNd structure.

Cell: 6.5875 6.0904 10.0453 Å, 90.00 108.95 90.00°
Space group P2_1/m (No. 11)
One atom of each set of equivalent atoms:
Ac  0.2336  0.2500  0.3001 (multiplicity 2)
La  0.3706  0.7500  0.9101 (multiplicity 2)
La  0.4243  0.2500  0.7019 (multiplicity 2)
Pm  0.0364  0.2500  0.8993 (multiplicity 2)
Nd  0.1638  0.7500  0.5049 (multiplicity 2)

Summary:
crystal system	monoclinic
E_tot	-4.66	eV/atom

## Na2PrHoTe4 (PBE-GGA)

Data for a geometry-optimized Na2PrHoTe4 structure.

Cell: 7.7909 4.4964 8.0107 Å, 90.00 108.92 90.00°
Space group P2/m (No. 10)
One atom of each set of equivalent atoms:
Na  0.0000  0.0000  0.0000 (multiplicity 1)
Na  0.5000  0.5000  0.0000 (multiplicity 1)
Pr  0.0000  0.5000  0.5000 (multiplicity 1)
Ho  0.5000  0.0000  0.5000 (multiplicity 1)
Te  0.2553  0.0000  0.7380 (multiplicity 2)
Te  0.2645  0.5000  0.2668 (multiplicity 2)

Summary:
formation energy (no corrections)	-1315	meV per atom
crystal system	monoclinic

## Y3Ho3Si4 (PBE-GGA)

Data for a geometry-optimized Y3Ho3Si4 structure.

Cell: 4.2173 10.5551 10.5670 Å, 90.00 90.00 90.00°
Space group Amm2 (No. 38)
One atom of each set of equivalent atoms:
Y  0.0000  0.0000  0.0000 (multiplicity 2)
Y  0.0000  0.1760  0.6756 (multiplicity 4)
Ho  0.0000  0.0000  0.3515 (multiplicity 2)
Ho  0.5000  0.2497  0.4255 (multiplicity 4)
Si  0.5000  0.0000  0.5580 (multiplicity 2)
Si  0.5000  0.0000  0.7924 (multiplicity 2)
Si  0.5000  0.1165  0.1762 (multiplicity 4)

Summary:
formation energy (no corrections)	-717	meV per atom
crystal system	orthorhombic

## CeI2Br (PBE-GGA)

Data for a geometry-optimized CeI2Br structure.

Cell: 4.1070 11.7601 7.4594 Å, 90.00 90.00 90.00°
Space group Imm2 (No. 44)
One atom of each set of equivalent atoms:
Ce  0.0000  0.0000  0.0000 (multiplicity 2)
I  0.0000  0.3263  0.3290 (multiplicity 4)
Br  0.0000  0.5000  0.7814 (multiplicity 2)

Summary:
formation energy (no corrections)	-1475	meV per atom
distance to the lowest polymorph of the same formula	0	meV per atom
crystal system	orthorhombic

## Pm3AlSn3 (PBE-GGA)

Data for a geometry-optimized Pm3AlSn3 structure.

Cell: 11.6625 4.5429 15.2398 Å, 90.00 107.89 90.00°
Space group C2/m (No. 12)
One atom of each set of equivalent atoms:
Pm  0.0156  0.0000  0.3796 (multiplicity 4)
Pm  0.1037  0.0000  0.9219 (multiplicity 4)
Pm  0.2335  0.0000  0.2306 (multiplicity 4)
Al  0.2290  0.5000  0.3747 (multiplicity 4)
Sn  0.0085  0.5000  0.2285 (multiplicity 4)
Sn  0.1222  0.5000  0.0762 (multiplicity 4)
Sn  0.1446  0.5000  0.5417 (multiplicity 4)

Summary:
distance to the lowest polymorph of the same formula	0	meV per atom
crystal system	monoclinic

## CsNpPaO6 (PBE-GGA)

Data for a geometry-optimized CsNpPaO6 structure.

Cell: 7.9949 8.0001 11.2706 Å, 90.00 90.00 90.00°
Space group Imma (No. 74)
One atom of each set of equivalent atoms:
Cs  0.0000  0.2500  0.1282 (multiplicity 4)
Np  0.0000  0.0000  0.5000 (multiplicity 4)
Pa  0.2500  0.2500  0.7500 (multiplicity 4)
O  0.0000  0.2500  0.4413 (multiplicity 4)
O  0.0000  0.2500  0.8198 (multiplicity 4)
O  0.1830  0.0524  0.6230 (multiplicity 16)

Summary:
formation energy (no corrections)	-3014	meV per atom
crystal system	orthorhombic

## NbTlRe2 (PBE-GGA)

Data for a geometry-optimized NbTlRe2 structure.

Cell: 7.5718 7.5718 5.5063 Å, 90.00 90.00 90.00°
Space group I-42d (No. 122)
One atom of each set of equivalent atoms:
Nb  0.0000  0.0000  0.0000 (multiplicity 4)
Tl  0.0000  0.0000  0.5000 (multiplicity 4)
Re  0.2086  0.2500  0.1250 (multiplicity 8)

Summary:
distance to the lowest polymorph of the same formula	591	meV per atom
crystal system	tetragonal

## TbTc3Ge3 (PBE-GGA)

Data for a geometry-optimized TbTc3Ge3 structure.

Cell: 6.7625 6.7625 6.7625 Å, 90.00 90.00 90.00°
Space group Pm-3n (No. 223)
One atom of each set of equivalent atoms:
Tb  0.0000  0.0000  0.0000 (multiplicity 2)
Tc  0.0000  0.2500  0.5000 (multiplicity 6)
Ge  0.0000  0.5000  0.2500 (multiplicity 6)

Summary:
distance to the lowest polymorph of the same formula	304	meV per atom
crystal system	cubic

## Y3MnAl (PBE-GGA)

Data for a geometry-optimized Y3MnAl structure.

Cell: 5.1106 5.1106 5.1106 Å, 90.00 90.00 90.00°
Space group Pm-3m (No. 221)
One atom of each set of equivalent atoms:
Y  0.0000  0.0000  0.5000 (multiplicity 3)
Mn  0.0000  0.0000  0.0000 (multiplicity 1)
Al  0.5000  0.5000  0.5000 (multiplicity 1)

Summary:
distance to the lowest polymorph of the same formula	0	meV per atom
crystal system	cubic